# 1
First-principles (PBE) data for a geometry-optimized Tm6SnRh5 structure, as listed in Alexandria.

Lattice parameters (Å, degrees): 4.8148 7.0067 8.3973 114.66 106.66 90.00
With the nearest neighbours (Å) after each atom.
Positions (direct):
Tm: 0.8275 0.5687 0.6550  7 Rh 2.91-3.02, 1 Sn 3.09
Tm: 0.8275 0.0863 0.6550  7 Rh 2.91-3.02, 1 Sn 3.09
Tm: 0.5000 0.7314 0.0000  6 Rh 2.90-3.03, 2 Sn 3.06, 1 Tm 3.24
Tm: 0.5000 0.2686 0.0000  6 Rh 2.90-3.03, 2 Sn 3.06, 1 Tm 3.24
Tm: 0.1725 0.9137 0.3450  7 Rh 2.91-3.02, 1 Sn 3.09
Tm: 0.1725 0.4313 0.3450  7 Rh 2.91-3.02, 1 Sn 3.09
Rh: 0.6639 0.1639 0.3279  8 Tm 2.91-3.03
Rh: 0.3321 0.3321 0.6642  8 Tm 2.92-2.94
Rh: 0.0000 0.5000 0.0000  8 Tm 2.90-3.02
Rh: 0.6679 0.6679 0.3358  8 Tm 2.92-2.94
Rh: 0.3361 0.8361 0.6721  8 Tm 2.91-3.03
Sn: 0.0000 0.0000 0.0000  8 Tm 3.06-3.09, 4 Rh 3.38

Properties
The calculation puts the calculated formation energy at -0.863 eV/atom.


# 2
First-principles (PBE) data for a geometry-optimized YBe2Pb structure, as listed in Alexandria.

Lattice parameters (Å, degrees): 3.9131 3.9728 5.1575 70.66 90.00 90.00
With the nearest neighbours (Å) after each atom.
Positions (direct):
Pb: 0.0000 0.4886 0.4093  4 Be 2.65-2.87
Y: 0.5000 0.7588 0.8281  7 Be 2.77-2.98
Be: 0.0000 0.1630 0.0374  2 Be 2.16
Be: 0.5000 0.0895 0.2252  2 Be 2.16

Properties
The calculation puts the calculated formation energy at 0.073 eV/atom.


# 3
First-principles (PBE) data for a geometry-optimized TmScCuNi structure, as listed in Alexandria.

Lattice parameters (Å, degrees): 4.6579 4.6579 4.6579 60.00 60.00 60.00
With the nearest neighbours (Å) after each atom.
Positions (direct):
Sc: 0.5000 0.5000 0.5000  4 Ni 2.85, 4 Cu 2.85
Ni: 0.7500 0.7500 0.7500  4 Tm 2.85, 4 Sc 2.85
Tm: 0.0000 0.0000 0.0000  4 Cu 2.85, 4 Ni 2.85
Cu: 0.2500 0.2500 0.2500  4 Sc 2.85, 4 Tm 2.85

Properties
The calculation puts the calculated formation energy at -0.366 eV/atom. The polymorph energy (0 for the lowest one) comes out at 1.1 kJ/mol of atoms.


# 4
First-principles (PBE) data for a geometry-optimized SiCl structure, as listed in Alexandria.

Lattice parameters (Å, degrees): 3.2053 3.2053 9.9254 90.00 90.00 122.53
With the nearest neighbours (Å) after each atom.
Positions (direct):
Cl: 0.0000 0.0000 0.0616  2 Si 2.39
Cl: 0.5000 0.5000 0.6884  2 Si 2.39
Si: 0.0000 0.0000 0.5037  2 Cl 2.39
Si: 0.5000 0.5000 0.2463  2 Cl 2.39

Properties
The calculation puts the uncorrected formation energy at 143.8 meV per atom. The polymorph energy (0 for the lowest one) comes out at 78.9 kJ/mol of atoms.


# 5
First-principles (PBE) data for a geometry-optimized HoLu3H structure, as listed in Alexandria.

Lattice parameters (Å, degrees): 4.8834 4.8834 4.8834 90.00 90.00 90.00
With the nearest neighbours (Å) after each atom.
Positions (direct):
H: 0.0000 0.0000 0.0000  6 Lu 2.44
Lu: 0.0000 0.5000 0.0000  2 H 2.44
Lu: 0.0000 0.0000 0.5000  2 H 2.44
Lu: 0.5000 0.0000 0.0000  2 H 2.44
Ho: 0.5000 0.5000 0.5000  12 Lu 3.45


# 6
First-principles (PBE) data for a geometry-optimized USbSe2N structure, as listed in Alexandria.

Lattice parameters (Å, degrees): 3.9743 3.9743 14.1525 90.00 90.00 90.00
With the nearest neighbours (Å) after each atom.
Positions (direct):
U: 0.5000 0.0000 0.5792  4 N 2.28
U: 0.0000 0.5000 0.4208  4 N 2.28
Sb: 0.5000 0.0000 0.1237  5 Se 2.70-2.82
Sb: 0.0000 0.5000 0.8763  5 Se 2.70-2.82
Se: 0.0000 0.5000 0.6856  1 Sb 2.70
Se: 0.0000 0.5000 0.1079  4 Sb 2.82
Se: 0.5000 0.0000 0.8921  4 Sb 2.82
Se: 0.5000 0.0000 0.3144  1 Sb 2.70
N: 0.0000 0.0000 0.5000  4 U 2.28
N: 0.5000 0.5000 0.5000  4 U 2.28

Properties
The calculation puts the uncorrected formation energy at -838.0 meV per atom.


# 7
First-principles (PBE) data for a geometry-optimized Tm2VS structure, as listed in Alexandria.

Lattice parameters (Å, degrees): 3.4874 3.4874 9.2884 79.18 79.18 60.00
With the nearest neighbours (Å) after each atom.
Positions (direct):
S: 0.5000 0.5000 0.5000  6 Tm 2.64
Tm: 0.1036 0.1036 0.6891  3 S 2.64, 1 V 2.82
Tm: 0.8964 0.8964 0.3109  3 S 2.64, 1 V 2.82
V: 0.0000 0.0000 0.0000  2 Tm 2.82

Properties
The calculation puts the uncorrected formation energy at -229.7 meV per atom.


# 8
First-principles (PBE) data for a geometry-optimized TcOs2Au structure, as listed in Alexandria.

Lattice parameters (Å, degrees): 4.4424 4.4424 4.4424 60.00 60.00 60.00
With the nearest neighbours (Å) after each atom.
Positions (direct):
Os: 0.2500 0.2500 0.2500  4 Tc 2.72, 4 Au 2.72
Os: 0.7500 0.7500 0.7500  4 Tc 2.72, 4 Au 2.72
Au: 0.5000 0.5000 0.5000  8 Os 2.72
Tc: 0.0000 0.0000 0.0000  8 Os 2.72

Properties
The calculation puts the calculated formation energy at 0.814 eV/atom. The polymorph energy (0 for the lowest one) comes out at 55.0 kJ/mol of atoms.


# 9
First-principles (PBE) data for a geometry-optimized TlGaGe2 structure, as listed in Alexandria.

Lattice parameters (Å, degrees): 6.1153 6.1153 7.3895 65.56 65.56 90.00
With the nearest neighbours (Å) after each atom.
Positions (direct):
Tl: 0.0000 0.0000 0.0000  4 Ge 2.78
Tl: 0.7500 0.2500 0.5000  4 Ge 2.78
Ge: 0.5847 0.1250 0.2500  2 Ga 2.50, 2 Tl 2.78
Ge: 0.1653 0.6250 0.2500  2 Ga 2.50, 2 Tl 2.78
Ge: 0.3750 0.4153 0.7500  2 Ga 2.50, 2 Tl 2.78
Ge: 0.8750 0.8347 0.7500  2 Ga 2.50, 2 Tl 2.78
Ga: 0.5000 0.5000 0.0000  4 Ge 2.50
Ga: 0.2500 0.7500 0.5000  4 Ge 2.50

Properties
The calculation puts the calculated formation energy at 0.302 eV/atom. The polymorph energy (0 for the lowest one) comes out at 13.5 kJ/mol of atoms.


# 10
First-principles (PBE) data for a geometry-optimized AcReO6 structure, as listed in Alexandria.

Lattice parameters (Å, degrees): 6.1947 6.1947 6.1947 60.00 60.00 60.00
With the nearest neighbours (Å) after each atom.
Positions (direct):
Ac: 0.5000 0.5000 0.5000  6 O 2.50
Re: 0.0000 0.0000 0.0000  6 O 1.88
O: 0.7857 0.7857 0.2143  1 Re 1.88
O: 0.7857 0.2143 0.2143  1 Re 1.88
O: 0.2143 0.7857 0.7857  1 Re 1.88
O: 0.2143 0.2143 0.7857  1 Re 1.88
O: 0.2143 0.7857 0.2143  1 Re 1.88
O: 0.7857 0.2143 0.7857  1 Re 1.88

Properties
The calculation puts the uncorrected formation energy at -1694.1 meV per atom.


# 11
First-principles (PBE) data for a geometry-optimized CoHgP2 structure, as listed in Alexandria.

Lattice parameters (Å, degrees): 2.6911 3.4180 7.6056 90.00 90.00 90.00
With the nearest neighbours (Å) after each atom.
Positions (direct):
Co: 0.0000 0.0000 0.3114  5 P 2.14-2.28
Hg: 0.5000 0.5000 0.7566  2 Hg 2.69, 5 P 2.70-3.01
P: 0.0000 0.0000 0.0304  1 Co 2.14
P: 0.5000 0.5000 0.4016  4 Co 2.28

Properties
The calculation puts the calculated formation energy at 0.161 eV/atom.


# 12
First-principles (PBE) data for a geometry-optimized Tl2ZnAg2 structure, as listed in Alexandria.

Lattice parameters (Å, degrees): 3.8555 3.8555 8.7195 77.23 77.23 90.00
With the nearest neighbours (Å) after each atom.
Positions (direct):
Tl: 0.3992 0.3992 0.2015  4 Ag 3.13, 4 Zn 3.20, 1 Tl 3.34
Tl: 0.6008 0.6008 0.7985  4 Ag 3.13, 4 Zn 3.20, 1 Tl 3.34
Zn: 0.0000 0.0000 0.0000  8 Tl 3.20
Ag: 0.7500 0.2500 0.5000  4 Ag 2.73
Ag: 0.2500 0.7500 0.5000  4 Ag 2.73

Properties
The calculation puts the calculated formation energy at 0.226 eV/atom. The polymorph energy (0 for the lowest one) comes out at 7.8 kJ/mol of atoms.


no.,calculated volume (Å³ per cell),calculated total energy (hartree per atom)
1,244.3,-0.239
2,75.7,-0.159
3,71.5,-0.203
4,86.0,-0.128
5,116.5,-0.163
6,223.5,-0.256
7,95.5,-0.212
8,62.0,-0.302
9,224.1,-0.123
10,168.1,-0.275
11,70.0,-0.162
12,123.1,-0.078